# 1
Compound: Li5ZnPd6
Source: Alexandria via LeMat-Bulk
Functional: GGA-PBE
Structure: optimized geometry

The magnetic moment comes out at 0.0 μB/f.u. The calculation puts the formation energy at -42.0 kJ per mole of atoms. As for the relative energy among the computed polymorphs: 0.0341 eV/atom. The total energy comes out at -3.93 eV/atom.

The structure belongs to space group C2/m (No. 12); the cell edges are 8.491, 8.434 and 4.877 Å and the angles 90.00°, 100.94° and 90.00°. The distinct sites, in fractional coordinates, are Li at (0.000, 0.000, 0.000), Li at (0.000, 0.168, 0.500), Li at (0.000, 0.335, 0.000), Zn at (0.000, 0.500, 0.500), Pd at (0.246, 0.334, 0.751) and Pd at (0.247, 0.500, 0.252).

---

# 2
Compound: Li12Zn3Pd
Source: Alexandria via LeMat-Bulk
Functional: GGA-PBE
Structure: optimized geometry

The magnetic moment comes out at 0.0 μB/f.u. The calculation puts the formation energy at -12.9 kJ per mole of atoms. The total energy comes out at -2.13 eV/atom.

The structure belongs to space group P4/mmm (No. 123); the cell edges are 3.973, 3.973 and 16.270 Å and the angles 90.00°, 90.00° and 90.00°. The distinct sites, in fractional coordinates, are Li at (0.000, 0.000, 0.000), Li at (0.000, 0.000, 0.245), Li at (0.000, 0.000, 0.500), Li at (0.000, 0.500, 0.117), Li at (0.000, 0.500, 0.372), Zn at (0.500, 0.500, 0.243), Zn at (0.500, 0.500, 0.500) and Pd at (0.500, 0.500, 0.000).

---

# 3
Compound: LiZn2Pd
Source: Alexandria via LeMat-Bulk
Functional: GGA-PBE
Structure: optimized geometry

The magnetic moment comes out at 0.0 μB/f.u. The calculation puts the formation energy at -37.3 kJ per mole of atoms. As for the relative energy among the computed polymorphs: 0.0664 eV/atom. The total energy comes out at -2.80 eV/atom.

The structure belongs to space group F-43m (No. 216); the cell edges are 6.077, 6.077 and 6.077 Å and the angles 90.00°, 90.00° and 90.00°. The distinct sites, in fractional coordinates, are Li at (0.000, 0.000, 0.000), Zn at (0.000, 0.000, 0.500), Zn at (0.250, 0.250, 0.750) and Pd at (0.250, 0.250, 0.250).

---

# 4
Compound: LiZr2Pd3
Source: Alexandria via LeMat-Bulk
Functional: GGA-PBE
Structure: optimized geometry

The magnetic moment comes out at 0.0 μB/f.u. The calculation puts the formation energy at -55.3 kJ per mole of atoms. As for the relative energy among the computed polymorphs: 0.0175 eV/atom. The total energy comes out at -6.34 eV/atom.

The structure belongs to space group P-3m1 (No. 164); the cell edges are 4.6453, 4.6453 and 11.3503 Å and the angles 90.00°, 90.00° and 120.00°. The distinct sites, in fractional coordinates, are Li at (0.3333, 0.6667, 0.1659), Zr at (0.0000, 0.0000, 0.0000), Zr at (0.0000, 0.0000, 0.5000), Zr at (0.3333, 0.6667, 0.6849), Pd at (0.0000, 0.0000, 0.2490), Pd at (0.3333, 0.6667, 0.4303) and Pd at (0.3333, 0.6667, 0.9256).

---

# 5
Compound: Li4ZrPd7
Source: Alexandria via LeMat-Bulk
Functional: GGA-PBE
Structure: optimized geometry

The magnetic moment comes out at 0.0 μB/f.u. The calculation puts the formation energy at -25.3 kJ per mole of atoms. The total energy comes out at -4.64 eV/atom.

The structure belongs to space group C2/m (No. 12); the cell edges are 12.011, 4.895 and 7.656 Å and the angles 90.00°, 123.73° and 90.00°. The distinct sites, in fractional coordinates, are Li at (0.043, 0.000, 0.211), Li at (0.192, 0.000, 0.858), Zr at (0.000, 0.500, 0.500), Pd at (0.000, 0.000, 0.500), Pd at (0.067, 0.500, 0.907), Pd at (0.222, 0.500, 0.384) and Pd at (0.242, 0.000, 0.212).

---

# 6
Compound: Li4ZrPd5
Source: Alexandria via LeMat-Bulk
Functional: GGA-PBE
Structure: optimized geometry

The magnetic moment comes out at 0.0 μB/f.u. The calculation puts the formation energy at -46.4 kJ per mole of atoms. The total energy comes out at -4.70 eV/atom.

The structure belongs to space group P4/mmm (No. 123); the cell edges are 3.135, 3.135 and 14.988 Å and the angles 90.00°, 90.00° and 90.00°. The distinct sites, in fractional coordinates, are Li at (0.000, 0.000, 0.094), Li at (0.000, 0.000, 0.281), Zr at (0.000, 0.000, 0.500), Pd at (0.500, 0.500, 0.000), Pd at (0.500, 0.500, 0.191) and Pd at (0.500, 0.500, 0.383).

---

# 7
Compound: LiZrPd6
Source: Alexandria via LeMat-Bulk
Functional: GGA-PBE
Structure: optimized geometry

The magnetic moment comes out at 0.0 μB/f.u. The calculation puts the formation energy at -53.1 kJ per mole of atoms. As for the relative energy among the computed polymorphs: 0.0000 eV/atom. The total energy comes out at -5.75 eV/atom.

The structure belongs to space group P4/mmm (No. 123); the cell edges are 5.659, 5.659 and 3.920 Å and the angles 90.00°, 90.00° and 90.00°. The distinct sites, in fractional coordinates, are Li at (0.000, 0.000, 0.000), Zr at (0.500, 0.500, 0.000), Pd at (0.000, 0.500, 0.000) and Pd at (0.247, 0.247, 0.500).

---

# 8
Compound: Li2ZrPd9
Source: Alexandria via LeMat-Bulk
Functional: GGA-PBE
Structure: optimized geometry

The magnetic moment comes out at 0.0 μB/f.u. The calculation puts the formation energy at -43.0 kJ per mole of atoms. The total energy comes out at -5.37 eV/atom.

The structure belongs to space group P4/mmm (No. 123); the cell edges are 3.993, 3.993 and 11.571 Å and the angles 90.00°, 90.00° and 90.00°. The distinct sites, in fractional coordinates, are Li at (0.000, 0.000, 0.160), Zr at (0.000, 0.000, 0.500), Pd at (0.000, 0.500, 0.000), Pd at (0.000, 0.500, 0.328), Pd at (0.500, 0.500, 0.162) and Pd at (0.500, 0.500, 0.500).

---

# 9
Compound: LiZr6Pd12
Source: Alexandria via LeMat-Bulk
Functional: GGA-PBE
Structure: optimized geometry

The magnetic moment comes out at 0.0 μB/f.u. The calculation puts the formation energy at -53.5 kJ per mole of atoms. The total energy comes out at -6.63 eV/atom.

The structure belongs to space group R-3 (No. 148, hexagonal axes); the cell edges are 10.2884, 10.2884 and 10.9929 Å and the angles 90.00°, 90.00° and 120.00°. The distinct sites, in fractional coordinates, are Li at (0.0000, 0.0000, 0.0000), Zr at (0.0163, 0.5925, 0.7397), Pd at (0.0507, 0.8656, 0.8331) and Pd at (0.0595, 0.1837, 0.3918).

---

# 10
Compound: LiZr2Pd
Source: Alexandria via LeMat-Bulk
Functional: GGA-PBE
Structure: optimized geometry

The magnetic moment comes out at 0.0 μB/f.u. The calculation puts the formation energy at 7.0 kJ per mole of atoms. The total energy comes out at -5.98 eV/atom.

The structure belongs to space group I-42d (No. 122); the cell edges are 7.568, 7.568 and 5.598 Å and the angles 90.00°, 90.00° and 90.00°. The distinct sites, in fractional coordinates, are Li at (0.000, 0.000, 0.000), Zr at (0.232, 0.750, 0.625) and Pd at (0.000, 0.000, 0.500).

---

# 11
Compound: LiZr2Pd3
Source: Alexandria via LeMat-Bulk
Functional: GGA-PBE
Structure: optimized geometry

The magnetic moment comes out at 0.0 μB/f.u. The calculation puts the formation energy at -57.0 kJ per mole of atoms. As for the relative energy among the computed polymorphs: 0.0000 eV/atom. The total energy comes out at -6.36 eV/atom.

The structure belongs to space group P4/mmm (No. 123); the cell edges are 3.241, 3.241 and 9.833 Å and the angles 90.00°, 90.00° and 90.00°. The distinct sites, in fractional coordinates, are Li at (0.000, 0.000, 0.000), Zr at (0.000, 0.000, 0.315), Pd at (0.500, 0.500, 0.146) and Pd at (0.500, 0.500, 0.500).

---

# 12
Compound: LiZr5Pd6
Source: Alexandria via LeMat-Bulk
Functional: GGA-PBE
Structure: optimized geometry

The magnetic moment comes out at 0.0 μB/f.u. The calculation puts the formation energy at -55.1 kJ per mole of atoms. The total energy comes out at -6.89 eV/atom.

The structure belongs to space group C2/m (No. 12); the cell edges are 8.298, 13.585 and 4.589 Å and the angles 90.00°, 123.50° and 90.00°. The distinct sites, in fractional coordinates, are Li at (0.000, 0.000, 0.000), Zr at (0.000, 0.180, 0.500), Zr at (0.000, 0.346, 0.000), Zr at (0.000, 0.500, 0.500), Pd at (0.220, 0.000, 0.719) and Pd at (0.225, 0.159, 0.225).